No. 1
This record from Alexandria via LeMat-Bulk describes an optimized crystal structure of Ba2SrPt. The functional is GGA-PBEsol.

The structure in CIF format:
```
data_Ba2SrPt
_chemical_formula_sum 'Ba4 Sr2 Pt2'
_cell_length_a 6.0665
_cell_length_b 14.0767
_cell_length_c 4.4540
_cell_angle_alpha 90.00
_cell_angle_beta 90.00
_cell_angle_gamma 90.00
_space_group_name_H-M_alt 'C m m m'
_space_group_IT_number 65
_space_group_name_Hall '-C 2 2'
loop_
_atom_site_label
_atom_site_type_symbol
_atom_site_fract_x
_atom_site_fract_y
_atom_site_fract_z
Ba1 Ba 0.0000 0.1474 0.0000
Sr1 Sr 0.0000 0.5000 0.5000
Pt1 Pt 0.0000 0.0000 0.5000
```

Results
Crystal system   orthorhombic
Energy of formation   -1.7 eV per formula unit


No. 2
This record from Alexandria via LeMat-Bulk describes an optimized crystal structure of Ba2SrPt. The functional is GGA-PBEsol.

The structure in CIF format:
```
data_Ba2SrPt
_chemical_formula_sum 'Ba4 Sr2 Pt2'
_cell_length_a 3.8597
_cell_length_b 5.4110
_cell_length_c 15.1923
_cell_angle_alpha 90.00
_cell_angle_beta 90.00
_cell_angle_gamma 90.00
_space_group_name_H-M_alt 'I m m m'
_space_group_IT_number 71
_space_group_name_Hall '-I 2 2'
loop_
_atom_site_label
_atom_site_type_symbol
_atom_site_fract_x
_atom_site_fract_y
_atom_site_fract_z
Ba1 Ba 0.0000 0.0000 0.1626
Sr1 Sr 0.0000 0.5000 0.0000
Pt1 Pt 0.0000 0.5000 0.5000
```

Results
Crystal system   orthorhombic
Energy of formation   -1.3 eV per formula unit


No. 3
This record from Alexandria via LeMat-Bulk describes an optimized crystal structure of BaSrPt. The functional is GGA-PBEsol.

The structure in CIF format:
```
data_BaSrPt
_chemical_formula_sum 'Ba2 Sr2 Pt2'
_cell_length_a 3.7863
_cell_length_b 3.7863
_cell_length_c 14.4802
_cell_angle_alpha 90.00
_cell_angle_beta 90.00
_cell_angle_gamma 90.00
_space_group_name_H-M_alt 'I 4 m m'
_space_group_IT_number 107
_space_group_name_Hall 'I 4 -2'
loop_
_atom_site_label
_atom_site_type_symbol
_atom_site_fract_x
_atom_site_fract_y
_atom_site_fract_z
Ba1 Ba 0.0000 0.0000 0.0000
Sr1 Sr 0.0000 0.0000 0.7580
Pt1 Pt 0.0000 0.0000 0.3731
```

Results
Crystal system   tetragonal
Energy of formation   -1.5 eV per formula unit


No. 4
This record from Alexandria via LeMat-Bulk describes an optimized crystal structure of BaSrPt2. The functional is GGA-PBEsol.

The structure in CIF format:
```
data_BaSrPt2
_chemical_formula_sum 'Ba2 Sr2 Pt4'
_cell_length_a 4.5153
_cell_length_b 4.3207
_cell_length_c 11.1910
_cell_angle_alpha 90.00
_cell_angle_beta 90.00
_cell_angle_gamma 90.00
_space_group_name_H-M_alt 'A m m 2'
_space_group_IT_number 38
loop_
_space_group_symop_operation_xyz
'x,y,z'
'-x,-y,z'
'-x,y,z'
'x,-y,z'
'x,y+1/2,z+1/2'
'-x,-y+1/2,z+1/2'
'-x,y+1/2,z+1/2'
'x,-y+1/2,z+1/2'
loop_
_atom_site_label
_atom_site_type_symbol
_atom_site_fract_x
_atom_site_fract_y
_atom_site_fract_z
Ba1 Ba 0.0000 0.0000 0.0000
Sr1 Sr 0.5000 0.0000 0.2844
Pt1 Pt 0.0000 0.0000 0.7150
Pt2 Pt 0.5000 0.0000 0.5813
```

Results
Crystal system   orthorhombic
Energy of formation   -2.6 eV per formula unit


No. 5
This record from Alexandria via LeMat-Bulk describes an optimized crystal structure of BaSrPt. The functional is GGA-PBEsol.

The structure in CIF format:
```
data_BaSrPt
_chemical_formula_sum 'Ba1 Sr1 Pt1'
_cell_length_a 4.4384
_cell_length_b 4.4384
_cell_length_c 7.0768
_cell_angle_alpha 90.00
_cell_angle_beta 90.00
_cell_angle_gamma 120.00
_space_group_name_H-M_alt 'P 3 m 1'
_space_group_IT_number 156
loop_
_space_group_symop_operation_xyz
'x,y,z'
'-y,x-y,z'
'-x+y,-x,z'
'-y,-x,z'
'-x+y,y,z'
'x,x-y,z'
loop_
_atom_site_label
_atom_site_type_symbol
_atom_site_fract_x
_atom_site_fract_y
_atom_site_fract_z
Ba1 Ba 0.0000 0.0000 0.0000
Sr1 Sr 0.6667 0.3333 0.5422
Pt1 Pt 0.3333 0.6667 0.7601
```

Results
Crystal system   trigonal
Energy of formation   -1.6 eV per formula unit


No. 6
This record from Alexandria via LeMat-Bulk describes an optimized crystal structure of Ba4SrPt. The functional is GGA-PBEsol.

The structure in CIF format:
```
data_Ba4SrPt
_chemical_formula_sum 'Ba16 Sr4 Pt4'
_cell_length_a 10.0274
_cell_length_b 10.0274
_cell_length_c 10.0274
_cell_angle_alpha 90.00
_cell_angle_beta 90.00
_cell_angle_gamma 90.00
_space_group_name_H-M_alt 'F -4 3 m'
_space_group_IT_number 216
_space_group_name_Hall 'F -4 2 3'
loop_
_atom_site_label
_atom_site_type_symbol
_atom_site_fract_x
_atom_site_fract_y
_atom_site_fract_z
Ba1 Ba 0.1220 0.1220 0.3780
Sr1 Sr 0.0000 0.0000 0.0000
Pt1 Pt 0.2500 0.2500 0.7500
```

Results
Crystal system   cubic
Energy of formation   3.4 eV per formula unit


No. 7
This record from Alexandria via LeMat-Bulk describes an optimized crystal structure of BaSr2Pt. The functional is GGA-PBEsol.

The structure in CIF format:
```
data_BaSr2Pt
_chemical_formula_sum 'Ba1 Sr2 Pt1'
_cell_length_a 4.9034
_cell_length_b 4.9034
_cell_length_c 5.4287
_cell_angle_alpha 90.00
_cell_angle_beta 90.00
_cell_angle_gamma 90.00
_space_group_name_H-M_alt 'P 4/m m m'
_space_group_IT_number 123
_space_group_name_Hall '-P 4 2'
loop_
_atom_site_label
_atom_site_type_symbol
_atom_site_fract_x
_atom_site_fract_y
_atom_site_fract_z
Ba1 Ba 0.0000 0.0000 0.0000
Sr1 Sr 0.0000 0.5000 0.5000
Pt1 Pt 0.5000 0.5000 0.0000
```

Results
Crystal system   tetragonal
Energy of formation   -0.2 eV per formula unit


No. 8
This record from Alexandria via LeMat-Bulk describes an optimized crystal structure of Ba2SrPt. The functional is GGA-PBEsol.

The structure in CIF format:
```
data_Ba2SrPt
_chemical_formula_sum 'Ba4 Sr2 Pt2'
_cell_length_a 4.4144
_cell_length_b 6.3499
_cell_length_c 13.2756
_cell_angle_alpha 90.00
_cell_angle_beta 90.00
_cell_angle_gamma 90.00
_space_group_name_H-M_alt 'A m m 2'
_space_group_IT_number 38
loop_
_space_group_symop_operation_xyz
'x,y,z'
'-x,-y,z'
'-x,y,z'
'x,-y,z'
'x,y+1/2,z+1/2'
'-x,-y+1/2,z+1/2'
'-x,y+1/2,z+1/2'
'x,-y+1/2,z+1/2'
loop_
_atom_site_label
_atom_site_type_symbol
_atom_site_fract_x
_atom_site_fract_y
_atom_site_fract_z
Ba1 Ba 0.0000 0.0000 0.0000
Ba2 Ba 0.5000 0.0000 0.3429
Sr1 Sr 0.0000 0.0000 0.6950
Pt1 Pt 0.5000 0.0000 0.8423
```

Results
Crystal system   orthorhombic
Energy of formation   -1.6 eV per formula unit


No. 9
This record from Alexandria via LeMat-Bulk describes an optimized crystal structure of Ba2SrPt. The functional is GGA-PBEsol.

The structure in CIF format:
```
data_Ba2SrPt
_chemical_formula_sum 'Ba2 Sr1 Pt1'
_cell_length_a 5.2223
_cell_length_b 5.2223
_cell_length_c 4.9750
_cell_angle_alpha 90.00
_cell_angle_beta 90.00
_cell_angle_gamma 90.00
_space_group_name_H-M_alt 'P 4/m m m'
_space_group_IT_number 123
_space_group_name_Hall '-P 4 2'
loop_
_atom_site_label
_atom_site_type_symbol
_atom_site_fract_x
_atom_site_fract_y
_atom_site_fract_z
Ba1 Ba 0.0000 0.5000 0.0000
Sr1 Sr 0.0000 0.0000 0.5000
Pt1 Pt 0.5000 0.5000 0.5000
```

Results
Crystal system   tetragonal
Energy of formation   -0.1 eV per formula unit


No. 10
This record from Alexandria via LeMat-Bulk describes an optimized crystal structure of BaSr2Pt. The functional is GGA-PBEsol.

The structure in CIF format:
```
data_BaSr2Pt
_chemical_formula_sum 'Ba3 Sr6 Pt3'
_cell_length_a 4.3332
_cell_length_b 4.3332
_cell_length_c 31.4808
_cell_angle_alpha 90.00
_cell_angle_beta 90.00
_cell_angle_gamma 120.00
_space_group_name_H-M_alt 'R -3 m'
_space_group_IT_number 166
_space_group_name_Hall '-R 3 2"'
loop_
_atom_site_label
_atom_site_type_symbol
_atom_site_fract_x
_atom_site_fract_y
_atom_site_fract_z
Ba1 Ba 0.0000 0.0000 0.0000
Sr1 Sr 0.0000 0.0000 0.2173
Pt1 Pt 0.0000 0.0000 0.5000
```

Results
Crystal system   trigonal
Energy of formation   -1.5 eV per formula unit


No. 11
This record from Alexandria via LeMat-Bulk describes an optimized crystal structure of Ba2SrPt. The functional is GGA-PBEsol.

The structure in CIF format:
```
data_Ba2SrPt
_chemical_formula_sum 'Ba4 Sr2 Pt2'
_cell_length_a 11.3678
_cell_length_b 4.1476
_cell_length_c 7.8301
_cell_angle_alpha 90.00
_cell_angle_beta 112.67
_cell_angle_gamma 90.00
_space_group_name_H-M_alt 'C 1 m 1'
_space_group_IT_number 8
loop_
_space_group_symop_operation_xyz
'x,y,z'
'x,-y,z'
'x+1/2,y+1/2,z'
'x+1/2,-y+1/2,z'
loop_
_atom_site_label
_atom_site_type_symbol
_atom_site_fract_x
_atom_site_fract_y
_atom_site_fract_z
Ba1 Ba 0.0000 0.0000 0.0000
Ba2 Ba 0.1655 0.0000 0.6248
Sr1 Sr 0.3200 0.5000 0.3095
Pt1 Pt 0.0415 0.5000 0.3118
```

Results
Crystal system   monoclinic
Energy of formation   -1.5 eV per formula unit


No. 12
This record from Alexandria via LeMat-Bulk describes an optimized crystal structure of BaSr2Pt. The functional is GGA-PBEsol.

The structure in CIF format:
```
data_BaSr2Pt
_chemical_formula_sum 'Ba2 Sr4 Pt2'
_cell_length_a 4.3738
_cell_length_b 6.0497
_cell_length_c 13.6757
_cell_angle_alpha 90.00
_cell_angle_beta 90.00
_cell_angle_gamma 90.00
_space_group_name_H-M_alt 'A m m 2'
_space_group_IT_number 38
loop_
_space_group_symop_operation_xyz
'x,y,z'
'-x,-y,z'
'-x,y,z'
'x,-y,z'
'x,y+1/2,z+1/2'
'-x,-y+1/2,z+1/2'
'-x,y+1/2,z+1/2'
'x,-y+1/2,z+1/2'
loop_
_atom_site_label
_atom_site_type_symbol
_atom_site_fract_x
_atom_site_fract_y
_atom_site_fract_z
Ba1 Ba 0.0000 0.0000 0.0000
Sr1 Sr 0.0000 0.0000 0.7035
Sr2 Sr 0.5000 0.0000 0.3439
Pt1 Pt 0.5000 0.0000 0.8463
```

Results
Crystal system   orthorhombic
Energy of formation   -1.7 eV per formula unit


No. 13
This record from Alexandria via LeMat-Bulk describes an optimized crystal structure of BaSrPt4. The functional is GGA-PBEsol.

The structure in CIF format:
```
data_BaSrPt4
_chemical_formula_sum 'Ba4 Sr4 Pt16'
_cell_length_a 7.8411
_cell_length_b 7.8411
_cell_length_c 7.8411
_cell_angle_alpha 90.00
_cell_angle_beta 90.00
_cell_angle_gamma 90.00
_space_group_name_H-M_alt 'F -4 3 m'
_space_group_IT_number 216
_space_group_name_Hall 'F -4 2 3'
loop_
_atom_site_label
_atom_site_type_symbol
_atom_site_fract_x
_atom_site_fract_y
_atom_site_fract_z
Ba1 Ba 0.0000 0.0000 0.0000
Sr1 Sr 0.2500 0.2500 0.7500
Pt1 Pt 0.1247 0.1247 0.3753
```

Results
Crystal system   cubic
Energy of formation   -4.5 eV per formula unit


No. 14
This record from Alexandria via LeMat-Bulk describes an optimized crystal structure of BaSr2Pt. The functional is GGA-PBEsol.

The structure in CIF format:
```
data_BaSr2Pt
_chemical_formula_sum 'Ba1 Sr2 Pt1'
_cell_length_a 6.3334
_cell_length_b 4.3409
_cell_length_c 7.1735
_cell_angle_alpha 90.00
_cell_angle_beta 116.12
_cell_angle_gamma 90.00
_space_group_name_H-M_alt 'P 1 2/m 1'
_space_group_IT_number 10
loop_
_space_group_symop_operation_xyz
'x,y,z'
'-x,-y,-z'
'-x,y,-z'
'x,-y,z'
loop_
_atom_site_label
_atom_site_type_symbol
_atom_site_fract_x
_atom_site_fract_y
_atom_site_fract_z
Ba1 Ba 0.0000 0.0000 0.0000
Sr1 Sr 0.3465 0.5000 0.6925
Pt1 Pt 0.5000 0.0000 0.0000
```

Results
Crystal system   monoclinic
Energy of formation   -1.6 eV per formula unit


No. 15
This record from Alexandria via LeMat-Bulk describes an optimized crystal structure of BaSrPt. The functional is GGA-PBEsol.

The structure in CIF format:
```
data_BaSrPt
_chemical_formula_sum 'Ba4 Sr4 Pt4'
_cell_length_a 7.4495
_cell_length_b 7.4495
_cell_length_c 7.4495
_cell_angle_alpha 90.00
_cell_angle_beta 90.00
_cell_angle_gamma 90.00
_space_group_name_H-M_alt 'F -4 3 m'
_space_group_IT_number 216
_space_group_name_Hall 'F -4 2 3'
loop_
_atom_site_label
_atom_site_type_symbol
_atom_site_fract_x
_atom_site_fract_y
_atom_site_fract_z
Ba1 Ba 0.0000 0.0000 0.0000
Sr1 Sr 0.0000 0.0000 0.5000
Pt1 Pt 0.2500 0.2500 0.7500
```

Results
Crystal system   cubic
Energy of formation   -1.6 eV per formula unit


No. 16
This record from Alexandria via LeMat-Bulk describes an optimized crystal structure of BaSr2Pt. The functional is GGA-PBEsol.

The structure in CIF format:
```
data_BaSr2Pt
_chemical_formula_sum 'Ba1 Sr2 Pt1'
_cell_length_a 3.7901
_cell_length_b 3.7901
_cell_length_c 10.4061
_cell_angle_alpha 90.00
_cell_angle_beta 90.00
_cell_angle_gamma 90.00
_space_group_name_H-M_alt 'P 4/m m m'
_space_group_IT_number 123
_space_group_name_Hall '-P 4 2'
loop_
_atom_site_label
_atom_site_type_symbol
_atom_site_fract_x
_atom_site_fract_y
_atom_site_fract_z
Ba1 Ba 0.0000 0.0000 0.0000
Sr1 Sr 0.5000 0.5000 0.3373
Pt1 Pt 0.0000 0.0000 0.5000
```

Results
Crystal system   tetragonal
Energy of formation   -1.4 eV per formula unit


No. 17
This record from Alexandria via LeMat-Bulk describes an optimized crystal structure of Ba2SrTaPt. The functional is GGA-PBEsol.

The structure in CIF format:
```
data_Ba2SrTaPt
_chemical_formula_sum 'Ba2 Sr1 Ta1 Pt1'
_cell_length_a 6.2147
_cell_length_b 6.2147
_cell_length_c 5.0027
_cell_angle_alpha 90.00
_cell_angle_beta 90.00
_cell_angle_gamma 90.00
_space_group_name_H-M_alt 'P 4/m m m'
_space_group_IT_number 123
_space_group_name_Hall '-P 4 2'
loop_
_atom_site_label
_atom_site_type_symbol
_atom_site_fract_x
_atom_site_fract_y
_atom_site_fract_z
Ba1 Ba 0.0000 0.5000 0.0000
Sr1 Sr 0.0000 0.0000 0.5000
Ta1 Ta 0.5000 0.5000 0.5000
Pt1 Pt 0.5000 0.5000 0.0000
```

Results
Crystal system   tetragonal
Energy of formation   1.7 eV per formula unit


No. 18
This record from Alexandria via LeMat-Bulk describes an optimized crystal structure of BaTaPt2. The functional is GGA-PBEsol.

The structure in CIF format:
```
data_BaTaPt2
_chemical_formula_sum 'Ba4 Ta4 Pt8'
_cell_length_a 6.7241
_cell_length_b 6.7241
_cell_length_c 6.7241
_cell_angle_alpha 90.00
_cell_angle_beta 90.00
_cell_angle_gamma 90.00
_space_group_name_H-M_alt 'F -4 3 m'
_space_group_IT_number 216
_space_group_name_Hall 'F -4 2 3'
loop_
_atom_site_label
_atom_site_type_symbol
_atom_site_fract_x
_atom_site_fract_y
_atom_site_fract_z
Ba1 Ba 0.0000 0.0000 0.0000
Ta1 Ta 0.2500 0.2500 0.7500
Pt1 Pt 0.0000 0.0000 0.5000
Pt2 Pt 0.2500 0.2500 0.2500
```

Results
Crystal system   cubic
Energy of formation   1.3 eV per formula unit


No. 19
This record from Alexandria via LeMat-Bulk describes an optimized crystal structure of BaTe2Pt. The functional is GGA-PBEsol.

The structure in CIF format:
```
data_BaTe2Pt
_chemical_formula_sum 'Ba4 Te8 Pt4'
_cell_length_a 7.5687
_cell_length_b 7.5687
_cell_length_c 7.5687
_cell_angle_alpha 90.00
_cell_angle_beta 90.00
_cell_angle_gamma 90.00
_space_group_name_H-M_alt 'F -4 3 m'
_space_group_IT_number 216
_space_group_name_Hall 'F -4 2 3'
loop_
_atom_site_label
_atom_site_type_symbol
_atom_site_fract_x
_atom_site_fract_y
_atom_site_fract_z
Ba1 Ba 0.0000 0.0000 0.0000
Te1 Te 0.0000 0.0000 0.5000
Te2 Te 0.2500 0.2500 0.2500
Pt1 Pt 0.2500 0.2500 0.7500
```

Results
Crystal system   cubic
Uncorrected formation energy   -190 meV per atom


No. 20
This record from Alexandria via LeMat-Bulk describes an optimized crystal structure of BaTe2Pt. The functional is GGA-PBEsol.

The structure in CIF format:
```
data_BaTe2Pt
_chemical_formula_sum 'Ba2 Te4 Pt2'
_cell_length_a 4.0674
_cell_length_b 6.1582
_cell_length_c 9.5769
_cell_angle_alpha 90.00
_cell_angle_beta 90.00
_cell_angle_gamma 90.00
_space_group_name_H-M_alt 'I m m m'
_space_group_IT_number 71
_space_group_name_Hall '-I 2 2'
loop_
_atom_site_label
_atom_site_type_symbol
_atom_site_fract_x
_atom_site_fract_y
_atom_site_fract_z
Ba1 Ba 0.0000 0.0000 0.0000
Te1 Te 0.0000 0.5000 0.1755
Pt1 Pt 0.0000 0.0000 0.5000
```

Results
Crystal system   orthorhombic
Uncorrected formation energy   -879 meV per atom